<a>
Material: VSn4
Method: DFT, PBE-GGA
State: relaxed

Geometry as extended XYZ:
```
5
Lattice="-0.602 -0.880 5.080 1.221 -4.993 -0.721 5.009 1.111 0.786" Properties=species:S:1:pos:R:3 pbc="T T T"
Sn 0.000 0.000 0.000
Sn 2.204 0.116 2.933
Sn 3.115 -1.941 0.033
Sn 0.310 -2.937 2.180
V 2.814 -2.381 2.573
```

Values from the calculation:
For the density of states at the Fermi level, the calculation gives 5.0 states/eV per cell. As for the space-group type: No. 221. The value obtained for the total magnetization is 0.06 μB/atom.

---

<b>
Material: VSn4
Method: DFT, PBE-GGA
State: relaxed

Geometry as extended XYZ:
```
10
Lattice="-2.119 5.016 -2.754 -5.719 -1.752 1.209 0.218 3.221 5.699" Properties=species:S:1:pos:R:3 pbc="T T T"
V 0.000 0.000 0.000
V -3.810 3.243 2.077
Sn -1.583 1.727 1.505
Sn -6.116 3.609 0.614
Sn -4.809 1.861 4.240
Sn -2.734 5.775 1.948
Sn -4.637 0.778 1.081
Sn -3.123 3.636 -0.592
Sn -2.085 3.592 4.234
Sn -5.395 4.965 3.584
```

Values from the calculation:
For the density of states at the Fermi level, the calculation gives 7.7 states/eV per cell. As for the space-group type: No. 121. The value obtained for the total magnetization is 0.14 μB/atom.

---

Which of them is most stable? Easy: <b>.